Here is crystalline Y2VGe at its relaxed geometry from the Alexandria database. Energies are from PBE.

```
data_Y2VGe
_chemical_formula_sum 'Y8 V4 Ge4'
_symmetry_space_group_name_H-M 'I -4 2 d'
_symmetry_Int_Tables_number 122
_symmetry_space_group_name_Hall 'I -4 2bw'
_cell_length_a 7.868
_cell_length_b 7.868
_cell_length_c 6.523
_cell_angle_alpha 90.00
_cell_angle_beta 90.00
_cell_angle_gamma 90.00
loop_
_atom_site_label
_atom_site_type_symbol
_atom_site_fract_x
_atom_site_fract_y
_atom_site_fract_z
Y1 Y 0.237 0.250 0.125
V1 V 0.000 0.000 0.500
Ge1 Ge 0.000 0.000 0.000
```

Properties
The calculation puts the formation energy at 303 meV/atom. The calculation puts the total energy at -101.8 eV/cell. The calculation puts the volume at 100.9 Å³/f.u.

=====

Here is crystalline NdGe2Pd2 at its relaxed geometry from the Alexandria database. Energies are from PBE.

```
data_NdGe2Pd2
_chemical_formula_sum 'Nd2 Ge4 Pd4'
_symmetry_space_group_name_H-M 'C 1 2/m 1'
_symmetry_Int_Tables_number 12
_cell_length_a 6.154
_cell_length_b 6.138
_cell_length_c 5.941
_cell_angle_alpha 90.00
_cell_angle_beta 121.02
_cell_angle_gamma 90.00
loop_
_symmetry_equiv_pos_as_xyz
'x,y,z'
'-x,-y,-z'
'-x,y,-z'
'x,-y,z'
'x+1/2,y+1/2,z'
'-x+1/2,-y+1/2,-z'
'-x+1/2,y+1/2,-z'
'x+1/2,-y+1/2,z'
loop_
_atom_site_label
_atom_site_type_symbol
_atom_site_fract_x
_atom_site_fract_y
_atom_site_fract_z
Nd1 Nd 0.000 0.000 0.000
Ge1 Ge 0.123 0.500 0.245
Pd1 Pd 0.000 0.250 0.500
```

Properties
The calculation puts the formation energy at -834 meV/atom. The calculation puts the total energy at -57.1 eV/cell. The calculation puts the volume at 96.2 Å³/f.u.

=====

Here is crystalline PrYZnIr at its relaxed geometry from the Alexandria database. Energies are from PBE.

```
data_PrYZnIr
_chemical_formula_sum 'Pr2 Y2 Zn2 Ir2'
_symmetry_space_group_name_H-M 'A m m 2'
_symmetry_Int_Tables_number 38
_cell_length_a 4.414
_cell_length_b 3.982
_cell_length_c 10.866
_cell_angle_alpha 90.00
_cell_angle_beta 90.00
_cell_angle_gamma 90.00
loop_
_symmetry_equiv_pos_as_xyz
'x,y,z'
'-x,-y,z'
'-x,y,z'
'x,-y,z'
'x,y+1/2,z+1/2'
'-x,-y+1/2,z+1/2'
'-x,y+1/2,z+1/2'
'x,-y+1/2,z+1/2'
loop_
_atom_site_label
_atom_site_type_symbol
_atom_site_fract_x
_atom_site_fract_y
_atom_site_fract_z
Pr1 Pr 0.000 0.000 0.000
Y1 Y 0.500 0.000 0.719
Zn1 Zn 0.500 0.000 0.424
Ir1 Ir 0.000 0.000 0.286
```

Properties
The calculation puts the formation energy at -533 meV/atom. The calculation puts the total energy at -47.0 eV/cell. The calculation puts the volume at 95.5 Å³/f.u.

=====

Here is crystalline CeAg2Sn2 at its relaxed geometry from the Alexandria database. Energies are from PBE.

```
data_CeAg2Sn2
_chemical_formula_sum 'Ce1 Ag2 Sn2'
_symmetry_space_group_name_H-M 'P -3 m 1'
_symmetry_Int_Tables_number 164
_symmetry_space_group_name_Hall '-P 3 2"'
_cell_length_a 4.9431
_cell_length_b 4.9431
_cell_length_c 6.1565
_cell_angle_alpha 90.00
_cell_angle_beta 90.00
_cell_angle_gamma 120.00
loop_
_atom_site_label
_atom_site_type_symbol
_atom_site_fract_x
_atom_site_fract_y
_atom_site_fract_z
Ce1 Ce 0.0000 0.0000 0.0000
Ag1 Ag 0.3333 0.6667 0.2623
Sn1 Sn 0.3333 0.6667 0.7406
```

Properties
The calculation puts the formation energy at -189 meV/atom. The calculation puts the total energy at -20.6 eV/cell. The calculation puts the volume at 130.3 Å³/f.u.

=====

Here is crystalline Ga2AgHg at its relaxed geometry from the Alexandria database. Energies are from PBE.

```
data_Ga2AgHg
_chemical_formula_sum 'Ga6 Ag3 Hg3'
_symmetry_space_group_name_H-M 'R -3 m'
_symmetry_Int_Tables_number 166
_symmetry_space_group_name_Hall '-R 3 2"'
_cell_length_a 4.4020
_cell_length_b 4.4020
_cell_length_c 15.1498
_cell_angle_alpha 90.00
_cell_angle_beta 90.00
_cell_angle_gamma 120.00
loop_
_atom_site_label
_atom_site_type_symbol
_atom_site_fract_x
_atom_site_fract_y
_atom_site_fract_z
Ga1 Ga 0.0000 0.0000 0.2308
Ag1 Ag 0.0000 0.0000 0.5000
Hg1 Hg 0.0000 0.0000 0.0000
```

Properties
The calculation puts the formation energy at 103 meV/atom. The calculation puts the total energy at -26.4 eV/cell. The calculation puts the volume at 84.7 Å³/f.u.

=====

Here is crystalline Ca2PtBr at its relaxed geometry from the Alexandria database. Energies are from PBE.

```
data_Ca2PtBr
_chemical_formula_sum 'Ca4 Pt2 Br2'
_symmetry_space_group_name_H-M 'C 1 2/m 1'
_symmetry_Int_Tables_number 12
_cell_length_a 7.405
_cell_length_b 7.419
_cell_length_c 3.509
_cell_angle_alpha 90.00
_cell_angle_beta 90.19
_cell_angle_gamma 90.00
loop_
_symmetry_equiv_pos_as_xyz
'x,y,z'
'-x,-y,-z'
'-x,y,-z'
'x,-y,z'
'x+1/2,y+1/2,z'
'-x+1/2,-y+1/2,-z'
'-x+1/2,y+1/2,-z'
'x+1/2,-y+1/2,z'
loop_
_atom_site_label
_atom_site_type_symbol
_atom_site_fract_x
_atom_site_fract_y
_atom_site_fract_z
Ca1 Ca 0.250 0.250 0.000
Pt1 Pt 0.000 0.000 0.500
Br1 Br 0.000 0.500 0.500
```

Properties
The calculation puts the total energy at -31.6 eV/cell. The calculation puts the volume at 96.4 Å³/f.u.

=====

Here is crystalline Mn2RhW at its relaxed geometry from the Alexandria database. Energies are from PBE.

```
data_Mn2RhW
_chemical_formula_sum 'Mn2 Rh1 W1'
_symmetry_space_group_name_H-M 'P 4/m m m'
_symmetry_Int_Tables_number 123
_symmetry_space_group_name_Hall '-P 4 2'
_cell_length_a 4.152
_cell_length_b 4.152
_cell_length_c 3.201
_cell_angle_alpha 90.00
_cell_angle_beta 90.00
_cell_angle_gamma 90.00
loop_
_atom_site_label
_atom_site_type_symbol
_atom_site_fract_x
_atom_site_fract_y
_atom_site_fract_z
Mn1 Mn 0.000 0.500 0.000
Rh1 Rh 0.000 0.000 0.500
W1 W 0.500 0.500 0.500
```

Properties
The calculation puts the formation energy at -10 meV/atom. The calculation puts the total energy at -38.7 eV/cell. The calculation puts the volume at 55.2 Å³/f.u.

=====

Here is crystalline Mn2NiAu at its relaxed geometry from the Alexandria database. Energies are from PBE.

```
data_Mn2NiAu
_chemical_formula_sum 'Mn2 Ni1 Au1'
_symmetry_space_group_name_H-M 'P 1 2/m 1'
_symmetry_Int_Tables_number 10
_cell_length_a 4.489
_cell_length_b 2.911
_cell_length_c 4.715
_cell_angle_alpha 90.00
_cell_angle_beta 108.24
_cell_angle_gamma 90.00
loop_
_symmetry_equiv_pos_as_xyz
'x,y,z'
'-x,-y,-z'
'-x,y,-z'
'x,-y,z'
loop_
_atom_site_label
_atom_site_type_symbol
_atom_site_fract_x
_atom_site_fract_y
_atom_site_fract_z
Mn1 Mn 0.000 0.000 0.000
Mn2 Mn 0.000 0.500 0.500
Ni1 Ni 0.500 0.000 0.500
Au1 Au 0.500 0.500 0.000
```

Properties
The calculation puts the formation energy at 176 meV/atom. The calculation puts the total energy at -26.7 eV/cell. The calculation puts the volume at 58.5 Å³/f.u.